Below is CaCrSeO2 after structural relaxation, with properties calculated at the GGA+U level.

abc: 3.804 3.804 8.917
angles: 90.00 90.00 90.00
Space group P4/mmm (No. 123)
Symmetry-distinct sites (fractional):
Ca (0.000, 0.000, 0.000)
Cr (0.000, 0.000, 0.500)
Se (0.500, 0.500, 0.000)
O (0.000, 0.500, 0.500)

Calculated values
- E_tot (eV per atom) = -5.730